(1)
Density functional theory data (PBE) for a relaxed Ba3Zn crystal. Values from VASP.

Results
crystal system = hexagonal
formation energy from the elements = 0.086 eV/atom
volume = 44.4 Å³ per atom
uncorrected energy = -13.40 eV per cell

Structure (Quantum ESPRESSO input):
```
&SYSTEM
  ibrav = 0, nat = 8, ntyp = 2
/
ATOMIC_SPECIES
Ba 137.33 Ba.upf
Zn 65.41 Zn.upf
CELL_PARAMETERS angstrom
4.120 -7.137 0.000
4.120 7.137 0.000
0.000 0.000 6.042
ATOMIC_POSITIONS angstrom
Ba 6.044 -1.268 1.510
Ba 2.197 -1.268 1.510
Ba 4.120 -4.600 1.510
Ba 2.197 1.268 4.531
Ba 6.044 1.268 4.531
Ba 4.120 4.600 4.531
Zn 4.120 2.379 1.510
Zn 4.120 -2.379 4.531
```

=====

(2)
Density functional theory data (PBE) for a relaxed Ba2Zn crystal. Values from VASP.

Results
crystal system = tetragonal
formation energy from the elements = -0.135 eV/atom
volume = 43.9 Å³ per atom
uncorrected energy = -5.53 eV per cell

Structure (Quantum ESPRESSO input):
```
&SYSTEM
  ibrav = 0, nat = 3, ntyp = 2
/
ATOMIC_SPECIES
Zn 65.41 Zn.upf
Ba 137.33 Ba.upf
CELL_PARAMETERS angstrom
4.181 0.001 -0.005
-0.002 4.181 -0.005
-2.082 -2.083 7.544
ATOMIC_POSITIONS angstrom
Zn 0.000 0.000 0.000
Ba 0.006 0.006 5.602
Ba 2.091 2.093 1.933
```

=====

(3)
Density functional theory data (PBE) for a relaxed BaZn3 crystal. Values from VASP.

Results
crystal system = orthorhombic
formation energy from the elements = -0.046 eV/atom
volume = 26.1 Å³ per atom
uncorrected energy = -5.93 eV per cell

Structure (Quantum ESPRESSO input):
```
&SYSTEM
  ibrav = 0, nat = 4, ntyp = 2
/
ATOMIC_SPECIES
Ba 137.33 Ba.upf
Zn 65.41 Zn.upf
CELL_PARAMETERS angstrom
5.420 0.057 0.025
0.284 5.412 -0.025
-2.145 -3.472 3.566
ATOMIC_POSITIONS angstrom
Ba 0.000 0.000 0.000
Zn 2.682 -0.706 1.796
Zn 2.852 2.735 0.000
Zn 0.877 2.703 1.771
```

=====

(4)
Density functional theory data (PBE) for a relaxed BaZn3 crystal. Values from VASP.

Results
crystal system = orthorhombic
formation energy from the elements = -0.188 eV/atom
volume = 25.0 Å³ per atom
uncorrected energy = -13.00 eV per cell

Structure (Quantum ESPRESSO input):
```
&SYSTEM
  ibrav = 0, nat = 8, ntyp = 2
/
ATOMIC_SPECIES
Ba 137.33 Ba.upf
Zn 65.41 Zn.upf
CELL_PARAMETERS angstrom
4.421 0.000 0.000
0.000 6.491 0.000
0.000 0.000 6.976
ATOMIC_POSITIONS angstrom
Ba 0.000 2.563 0.000
Ba 2.211 3.928 3.488
Zn 2.211 5.433 0.000
Zn 0.000 1.058 3.488
Zn 0.000 5.822 1.412
Zn 0.000 5.822 5.564
Zn 2.211 0.669 4.900
Zn 2.211 0.669 2.076
```

=====

Please write out number 4 again, unchanged.
Density functional theory data (PBE) for a relaxed BaZn3 crystal. Values from VASP.

Results
crystal system = orthorhombic
formation energy from the elements = -0.188 eV/atom
volume = 25.0 Å³ per atom
uncorrected energy = -13.00 eV per cell

Structure (Quantum ESPRESSO input):
```
&SYSTEM
  ibrav = 0, nat = 8, ntyp = 2
/
ATOMIC_SPECIES
Ba 137.33 Ba.upf
Zn 65.41 Zn.upf
CELL_PARAMETERS angstrom
4.421 0.000 0.000
0.000 6.491 0.000
0.000 0.000 6.976
ATOMIC_POSITIONS angstrom
Ba 0.000 2.563 0.000
Ba 2.211 3.928 3.488
Zn 2.211 5.433 0.000
Zn 0.000 1.058 3.488
Zn 0.000 5.822 1.412
Zn 0.000 5.822 5.564
Zn 2.211 0.669 4.900
Zn 2.211 0.669 2.076
```

=====

- What is the formula in the second record?
  Ba2Zn

=====

- Which value of formation energy from the elements does entry 1 give?
  0.086 eV/atom

=====

- formation energy from the elements of number 1 (Ba3Zn)?
  0.086 eV/atom